First-principles (PBE) data for a geometry-optimized HfMnVNi structure, as listed in Alexandria.

a = 4.306 Å, b = 4.306 Å, c = 4.306 Å
α = 60.00°, β = 60.00°, γ = 60.00°
Fractional positions:
Hf (0.000, 0.000, 0.000)
Mn (0.750, 0.750, 0.750)
V (0.500, 0.500, 0.500)
Ni (0.250, 0.250, 0.250)

Output
symmetry	F-43m (216)
raw total energy	-8.635	eV per atom

First-principles (PBE) data for a geometry-optimized Hf2ZrMnNi structure, as listed in Alexandria.

a = 4.806 Å, b = 4.806 Å, c = 4.288 Å
α = 90.00°, β = 90.00°, γ = 90.00°
Fractional positions:
Hf (0.000, 0.500, 0.000)
Hf (0.500, 0.000, 0.000)
Zr (0.000, 0.000, 0.500)
Mn (0.500, 0.500, 0.500)
Ni (0.500, 0.500, 0.000)

Output
symmetry	P4/mmm (123)
raw total energy	-8.149	eV per atom